Here is a geometry-optimized TmTh2MoC4 structure from Alexandria via LeMat-Bulk. Energies are from GGA-PBE.

Properties
* magnetization: 0.000 Bohr magnetons per cell
* DFT formation energy: 17 meV per atom
* E: -8.36 eV per atom

abc: 6.256 6.256 12.996
angles: 90.00 90.00 146.78
Positions (direct):
Tm (0.112, 0.888, 0.750)
Tm (0.888, 0.112, 0.250)
Th (0.365, 0.635, 0.537)
Th (0.365, 0.635, 0.963)
Th (0.635, 0.365, 0.037)
Th (0.635, 0.365, 0.463)
Mo (0.162, 0.838, 0.250)
Mo (0.838, 0.162, 0.750)
C (0.000, 0.000, 0.000)
C (0.000, 0.000, 0.500)
C (0.269, 0.731, 0.138)
C (0.269, 0.731, 0.362)
C (0.430, 0.570, 0.750)
C (0.570, 0.430, 0.250)
C (0.731, 0.269, 0.638)
C (0.731, 0.269, 0.862)